No. 1
# SrPrAgTe3 (PBE, relaxed)
# Mass density = 5957 kg/m³
# Total moment = 0.00 μB per formula unit
# DFT total energy = -4.312 eV per atom
data_SrPrAgTe3
_chemical_formula_sum 'Sr4 Pr4 Ag4 Te12'
_cell_length_a 20.053
_cell_length_b 4.482
_cell_length_c 9.138
_cell_angle_alpha 90.00
_cell_angle_beta 102.48
_cell_angle_gamma 90.00
_symmetry_space_group_name_H-M 'C 1 2/m 1'
_symmetry_Int_Tables_number 12
_symmetry_space_group_name_Hall '-C 2y'
loop_
_atom_site_label
_atom_site_type_symbol
_atom_site_fract_x
_atom_site_fract_y
_atom_site_fract_z
_atom_site_occupancy
Sr1 Sr 0.126 0.000 0.074 1
Pr1 Pr 0.164 0.000 0.594 1
Ag1 Ag 0.040 0.500 0.711 1
Te1 Te 0.000 0.000 0.500 1
Te2 Te 0.000 0.500 0.000 1
Te3 Te 0.171 0.500 0.352 1
Te4 Te 0.183 0.500 0.848 1



No. 2
# LiNdCd6 (PBE, relaxed)
# Mass density = 7690 kg/m³
# Total moment = 0.00 μB per formula unit
# DFT total energy = -1.754 eV per atom
data_LiNdCd6
_chemical_formula_sum 'Li1 Nd1 Cd6'
_cell_length_a 4.950
_cell_length_b 4.950
_cell_length_c 7.277
_cell_angle_alpha 90.00
_cell_angle_beta 90.00
_cell_angle_gamma 90.00
_symmetry_space_group_name_H-M 'P 4/m m m'
_symmetry_Int_Tables_number 123
_symmetry_space_group_name_Hall '-P 4 2'
loop_
_atom_site_label
_atom_site_type_symbol
_atom_site_fract_x
_atom_site_fract_y
_atom_site_fract_z
_atom_site_occupancy
Li1 Li 0.000 0.000 0.000 1
Nd1 Nd 0.500 0.500 0.500 1
Cd1 Cd 0.000 0.000 0.500 1
Cd2 Cd 0.000 0.500 0.225 1
Cd3 Cd 0.500 0.500 0.000 1



No. 3
# HfScAg2 (PBE, relaxed)
# Mass density = 9522 kg/m³
# Formation energy = 13.1 kJ per mole of atoms
# Total moment = 0.99 μB per formula unit
data_HfScAg2
_chemical_formula_sum 'Hf4 Sc4 Ag8'
_cell_length_a 6.741
_cell_length_b 6.741
_cell_length_c 6.741
_cell_angle_alpha 90.00
_cell_angle_beta 90.00
_cell_angle_gamma 90.00
_symmetry_space_group_name_H-M 'F -4 3 m'
_symmetry_Int_Tables_number 216
_symmetry_space_group_name_Hall 'F -4 2 3'
loop_
_atom_site_label
_atom_site_type_symbol
_atom_site_fract_x
_atom_site_fract_y
_atom_site_fract_z
_atom_site_occupancy
Hf1 Hf 0.000 0.000 0.000 1
Sc1 Sc 0.250 0.250 0.750 1
Ag1 Ag 0.000 0.000 0.500 1
Ag2 Ag 0.250 0.250 0.250 1



Repeat the first record exactly.
# SrPrAgTe3 (PBE, relaxed)
# Mass density = 5957 kg/m³
# Total moment = 0.00 μB per formula unit
# DFT total energy = -4.312 eV per atom
data_SrPrAgTe3
_chemical_formula_sum 'Sr4 Pr4 Ag4 Te12'
_cell_length_a 20.053
_cell_length_b 4.482
_cell_length_c 9.138
_cell_angle_alpha 90.00
_cell_angle_beta 102.48
_cell_angle_gamma 90.00
_symmetry_space_group_name_H-M 'C 1 2/m 1'
_symmetry_Int_Tables_number 12
_symmetry_space_group_name_Hall '-C 2y'
loop_
_atom_site_label
_atom_site_type_symbol
_atom_site_fract_x
_atom_site_fract_y
_atom_site_fract_z
_atom_site_occupancy
Sr1 Sr 0.126 0.000 0.074 1
Pr1 Pr 0.164 0.000 0.594 1
Ag1 Ag 0.040 0.500 0.711 1
Te1 Te 0.000 0.000 0.500 1
Te2 Te 0.000 0.500 0.000 1
Te3 Te 0.171 0.500 0.352 1
Te4 Te 0.183 0.500 0.848 1



> What is the mass density in the third record?

9522 kg/m³